MgZr2W | PBE | optimized geometry

Cell lengths 2.967, 4.568, 6.201 Å; angles 90.00, 102.06, 90.00 degrees
Sites, in units of the cell vectors:
Mg: 0.000 0.000 0.000
Zr: 0.399 0.500 0.728
Zr: 0.601 0.500 0.272
W: 0.000 0.000 0.500

Values from the calculation:
ΔH_f (0 K) = 18 kJ per mole of atoms
M_tot = 0.00 Bohr magnetons per cell
Total DFT energy (no corrections) = -7.72 eV per atom
N(E_F) = 3.9 states/eV/cell
Space-group type = P2/m, No. 10

---

MgZr3W | PBE | optimized geometry

Cell lengths 5.132, 5.132, 5.132 Å; angles 90.00, 90.00, 90.00 degrees
Sites, in units of the cell vectors:
Mg: 0.000 0.000 0.000
Zr: 0.000 0.500 0.500
Zr: 0.500 0.000 0.500
Zr: 0.500 0.500 0.000
W: 0.500 0.500 0.500

Values from the calculation:
ΔH_f (0 K) = 72 kJ per mole of atoms
Distance to the lowest polymorph of the same formula = 0.0 meV per atom
M_tot = 0.00 Bohr magnetons per cell
Total DFT energy (no corrections) = -7.30 eV per atom
N(E_F) = 9.0 states/eV/cell
Space-group type = Pm-3m, No. 221

---

MgZr2W | PBE | optimized geometry

Cell lengths 2.888, 2.888, 9.877 Å; angles 90.00, 90.00, 90.00 degrees
Sites, in units of the cell vectors:
Mg: 0.000 0.000 0.000
Zr: 0.500 0.500 0.267
Zr: 0.500 0.500 0.733
W: 0.000 0.000 0.500

Values from the calculation:
ΔH_f (0 K) = 20 kJ per mole of atoms
M_tot = 0.00 Bohr magnetons per cell
Total DFT energy (no corrections) = -7.70 eV per atom
N(E_F) = 3.5 states/eV/cell
Space-group type = P4/mmm, No. 123

---

MgZr2W | PBE | optimized geometry

Cell lengths 2.879, 4.772, 5.942 Å; angles 90.00, 90.00, 90.00 degrees
Sites, in units of the cell vectors:
Mg: 0.000 0.000 0.000
Zr: 0.000 0.000 0.481
Zr: 0.500 0.500 0.741
W: 0.500 0.500 0.260

Values from the calculation:
ΔH_f (0 K) = 30 kJ per mole of atoms
M_tot = 0.00 Bohr magnetons per cell
Total DFT energy (no corrections) = -7.60 eV per atom
N(E_F) = 4.3 states/eV/cell
Space-group type = Pmm2, No. 25

---

MgZrW2 | PBE | optimized geometry

Cell lengths 3.489, 3.489, 5.976 Å; angles 90.00, 90.00, 90.00 degrees
Sites, in units of the cell vectors:
Mg: 0.000 0.000 0.000
Zr: 0.000 0.000 0.500
W: 0.500 0.500 0.216
W: 0.500 0.500 0.784

Values from the calculation:
ΔH_f (0 K) = 51 kJ per mole of atoms
M_tot = 0.00 Bohr magnetons per cell
Total DFT energy (no corrections) = -8.49 eV per atom
N(E_F) = 3.4 states/eV/cell
Space-group type = P4/mmm, No. 123

---

Mg3ZrW | PBE | optimized geometry

Cell lengths 5.020, 5.020, 5.020 Å; angles 90.00, 90.00, 90.00 degrees
Sites, in units of the cell vectors:
Mg: 0.000 0.000 0.500
Mg: 0.000 0.500 0.000
Mg: 0.500 0.000 0.000
Zr: 0.500 0.500 0.500
W: 0.000 0.000 0.000

Values from the calculation:
ΔH_f (0 K) = 132 kJ per mole of atoms
Distance to the lowest polymorph of the same formula = 0.0 meV per atom
M_tot = 0.85 Bohr magnetons per cell
Total DFT energy (no corrections) = -3.89 eV per atom
N(E_F) = 8.9 states/eV/cell
Space-group type = Pm-3m, No. 221

---

MgZrW2 | PBE | optimized geometry

Cell lengths 2.778, 4.848, 5.412 Å; angles 90.00, 98.16, 90.00 degrees
Sites, in units of the cell vectors:
Mg: 0.000 0.000 0.000
Zr: 0.500 0.000 0.500
W: 0.235 0.500 0.742
W: 0.765 0.500 0.258

Values from the calculation:
ΔH_f (0 K) = 34 kJ per mole of atoms
M_tot = 0.00 Bohr magnetons per cell
Total DFT energy (no corrections) = -8.66 eV per atom
N(E_F) = 2.9 states/eV/cell
Space-group type = P2/m, No. 10

---

MgZr2W | PBE | optimized geometry

Cell lengths 3.451, 3.451, 6.979 Å; angles 90.00, 90.00, 90.00 degrees
Sites, in units of the cell vectors:
Mg: 0.000 0.000 0.000
Zr: 0.500 0.500 0.278
Zr: 0.500 0.500 0.722
W: 0.000 0.000 0.500

Values from the calculation:
ΔH_f (0 K) = 6 kJ per mole of atoms
M_tot = 0.00 Bohr magnetons per cell
Total DFT energy (no corrections) = -7.84 eV per atom
N(E_F) = 3.7 states/eV/cell
Space-group type = P4/mmm, No. 123

---

MgZr2W | PBE | optimized geometry

Cell lengths 5.372, 5.372, 5.372 Å; angles 133.43, 133.43, 67.99 degrees
Sites, in units of the cell vectors:
Mg: 0.000 0.000 0.000
Zr: 0.500 0.500 0.000
Zr: 0.750 0.250 0.500
W: 0.250 0.750 0.500

Values from the calculation:
ΔH_f (0 K) = 26 kJ per mole of atoms
M_tot = 0.00 Bohr magnetons per cell
Total DFT energy (no corrections) = -7.64 eV per atom
N(E_F) = 4.1 states/eV/cell
Space-group type = I-4m2, No. 119

---

MgZr2W2 | PBE | optimized geometry

Cell lengths 6.741, 6.741, 6.741 Å; angles 142.66, 142.66, 53.84 degrees
Sites, in units of the cell vectors:
Mg: 0.000 0.000 0.000
Zr: 0.250 0.750 0.500
Zr: 0.750 0.250 0.500
W: 0.402 0.402 0.000
W: 0.598 0.598 0.000

Values from the calculation:
ΔH_f (0 K) = 86 kJ per mole of atoms
Distance to the lowest polymorph of the same formula = 552.3 meV per atom
M_tot = 0.00 Bohr magnetons per cell
Total DFT energy (no corrections) = -8.02 eV per atom
N(E_F) = 5.4 states/eV/cell
Space-group type = I4/mmm, No. 139

---

MgZrW2 | PBE | optimized geometry

Cell lengths 5.469, 5.469, 5.469 Å; angles 143.07, 131.96, 62.09 degrees
Sites, in units of the cell vectors:
Mg: 0.000 0.000 0.000
Zr: 0.500 0.500 0.000
W: 0.253 0.753 0.500
W: 0.747 0.247 0.500

Values from the calculation:
ΔH_f (0 K) = 37 kJ per mole of atoms
M_tot = 0.00 Bohr magnetons per cell
Total DFT energy (no corrections) = -8.63 eV per atom
N(E_F) = 3.6 states/eV/cell
Space-group type = Immm, No. 71

---

Y3Mg | PBE | optimized geometry

Cell lengths 6.590, 6.590, 6.590 Å; angles 117.23, 117.23, 117.23 degrees
Sites, in units of the cell vectors:
Y: 0.000 0.500 0.500
Y: 0.500 0.000 0.500
Y: 0.500 0.500 0.000
Mg: 0.000 0.000 0.000

Values from the calculation:
ΔH_f (0 K) = 8 kJ per mole of atoms
M_tot = 0.00 Bohr magnetons per cell
Total DFT energy (no corrections) = -5.16 eV per atom
N(E_F) = 6.9 states/eV/cell
Space-group type = R-3m, No. 166